{"formula": "Sm2Al3Zn4In", "functional": "GGA-PBE", "state": "relaxed", "lattice_angstrom": [[4.277, 0.000, 0.000], [0.000, 4.277, 0.000], [0.000, 0.000, 10.862]], "species": ["Sm", "Sm", "Al", "Al", "Al", "Zn", "Zn", "Zn", "Zn", "In"], "fractional_positions": [[0.000, 0.500, 0.241], [0.500, 0.000, 0.759], [0.000, 0.500, 0.871], [0.500, 0.000, 0.129], [0.500, 0.500, 0.500], [0.000, 0.000, 0.000], [0.000, 0.500, 0.648], [0.500, 0.000, 0.352], [0.500, 0.500, 0.000], [0.000, 0.000, 0.500]], "magnetic_moment_mub_per_fu": 0.00, "energy_ev_per_atom": -3.224}


{"formula": "SmZrAlIn", "functional": "GGA-PBE", "state": "relaxed", "lattice_angstrom": [[0.000, 3.618, 3.618], [3.618, 0.000, 3.618], [3.618, 3.618, 0.000]], "species": ["Sm", "Zr", "Al", "In"], "fractional_positions": [[0.000, 0.000, 0.000], [0.500, 0.500, 0.500], [0.250, 0.250, 0.250], [0.750, 0.750, 0.750]], "magnetic_moment_mub_per_fu": 0.00, "energy_ev_per_atom": -5.183}


{"formula": "Al2InSn2", "functional": "GGA-PBE", "state": "relaxed", "lattice_angstrom": [[8.251, 0.000, 0.000], [0.000, 8.251, 0.000], [0.000, 0.000, 3.488]], "species": ["Al", "Al", "Al", "Al", "In", "In", "Sn", "Sn", "Sn", "Sn"], "fractional_positions": [[0.125, 0.375, 0.000], [0.375, 0.875, 0.000], [0.625, 0.125, 0.000], [0.875, 0.625, 0.000], [0.000, 0.000, 0.000], [0.500, 0.500, 0.000], [0.168, 0.668, 0.500], [0.332, 0.168, 0.500], [0.668, 0.832, 0.500], [0.832, 0.332, 0.500]], "magnetic_moment_mub_per_fu": 0.00, "relative_energy_mev_per_atom": 14}


{"formula": "Al2In2Sn", "functional": "GGA-PBE", "state": "relaxed", "lattice_angstrom": [[-2.244, 2.244, 6.136], [2.244, -2.244, 6.136], [2.244, 2.244, -6.136]], "species": ["Al", "Al", "In", "In", "Sn"], "fractional_positions": [[0.102, 0.102, 0.000], [0.898, 0.898, 0.000], [0.250, 0.750, 0.500], [0.750, 0.250, 0.500], [0.500, 0.500, 0.000]], "magnetic_moment_mub_per_fu": 0.00, "relative_energy_mev_per_atom": 51}


{"formula": "AlIn3Sn", "functional": "GGA-PBE", "state": "relaxed", "lattice_angstrom": [[5.327, 0.000, 0.000], [0.000, 5.327, 0.000], [0.000, 0.000, 5.327]], "species": ["Al", "In", "In", "In", "Sn"], "fractional_positions": [[0.000, 0.000, 0.000], [0.000, 0.000, 0.500], [0.000, 0.500, 0.000], [0.500, 0.000, 0.000], [0.500, 0.500, 0.500]], "magnetic_moment_mub_per_fu": 0.00, "relative_energy_mev_per_atom": 0}


{"formula": "AlIn3Sn", "functional": "GGA-PBE", "state": "relaxed", "lattice_angstrom": [[5.694, 0.000, 0.000], [0.000, 5.694, 0.000], [0.000, 0.000, 5.694]], "species": ["Al", "In", "In", "In", "Sn"], "fractional_positions": [[0.000, 0.000, 0.000], [0.000, 0.500, 0.500], [0.500, 0.000, 0.500], [0.500, 0.500, 0.000], [0.500, 0.500, 0.500]], "magnetic_moment_mub_per_fu": 0.00, "relative_energy_mev_per_atom": 313}


{"formula": "Al2InSn2", "functional": "GGA-PBE", "state": "relaxed", "lattice_angstrom": [[-2.391, 2.391, 5.727], [2.391, -2.391, 5.727], [2.391, 2.391, -5.727]], "species": ["Al", "Al", "In", "Sn", "Sn"], "fractional_positions": [[0.111, 0.111, 0.000], [0.889, 0.889, 0.000], [0.500, 0.500, 0.000], [0.250, 0.750, 0.500], [0.750, 0.250, 0.500]], "magnetic_moment_mub_per_fu": 0.00, "relative_energy_mev_per_atom": 40}


{"formula": "Al2In2Sn", "functional": "GGA-PBE", "state": "relaxed", "lattice_angstrom": [[8.804, 0.000, 0.000], [0.000, 8.804, 0.000], [0.000, 0.000, 3.050]], "species": ["Al", "Al", "Al", "Al", "In", "In", "In", "In", "Sn", "Sn"], "fractional_positions": [[0.140, 0.360, 0.000], [0.360, 0.860, 0.000], [0.640, 0.140, 0.000], [0.860, 0.640, 0.000], [0.156, 0.656, 0.500], [0.344, 0.156, 0.500], [0.656, 0.844, 0.500], [0.844, 0.344, 0.500], [0.000, 0.000, 0.500], [0.500, 0.500, 0.500]], "magnetic_moment_mub_per_fu": 0.00, "relative_energy_mev_per_atom": 32}